The following is a PBE-GGA calculation of a relaxed structure of Hg5C3, from Alexandria via LeMat-Bulk.

E_tot, eV/atom: -1.6406
E_form, eV per atom: 2.007
Calculated volume, A^3/atom: 17.32
Magnetic moment, μB/cell: 0.0

Cell: 3.068 3.068 14.723 Å, 90.00 90.00 90.00°
Space group P4/mmm (No. 123)
One atom of each set of equivalent atoms:
Hg 0.000 0.000 0.000 (multiplicity 1)
Hg 0.000 0.000 0.214 (multiplicity 2)
Hg 0.500 0.500 0.393 (multiplicity 2)
C 0.000 0.000 0.500 (multiplicity 1)
C 0.500 0.500 0.120 (multiplicity 2)